Below is an optimized crystal structure of CaZn2Tc, with properties calculated at the PBE-GGA level.

CIF file:
```
data_CaZn2Tc
_chemical_formula_sum 'Ca1 Zn2 Tc1'
_space_group_name_H-M_alt 'P 4 m m'
_space_group_IT_number 99
_space_group_name_Hall 'P 4 -2'
_cell_length_a 2.868
_cell_length_b 2.868
_cell_length_c 8.533
_cell_angle_alpha 90.00
_cell_angle_beta 90.00
_cell_angle_gamma 90.00
loop_
_atom_site_label
_atom_site_fract_x
_atom_site_fract_y
_atom_site_fract_z
_atom_site_occupancy
Ca1 0.000 0.000 0.000 1
Zn1 0.000 0.000 0.495 1
Zn2 0.500 0.500 0.716 1
Tc1 0.500 0.500 0.282 1
```

Calculated values
* calculated total energy: -13.8 eV/cell
* energy above the most stable polymorph in this dataset: 0.186 eV per atom
* calculated formation energy: 273.7 meV/atom